Density functional theory data (GGA-PBE) for crystalline PuCdSnBi at its relaxed geometry.

abc: 5.4181 5.4181 5.4181
angles: 60.00 60.00 60.00
Closest atoms and distances in Å follow each position.
Positions (direct):
Pu 0.0000 0.0000 0.0000  4 Cd 3.32, 4 Sn 3.32
Cd 0.7500 0.7500 0.7500  4 Bi 3.32, 4 Pu 3.32
Sn 0.2500 0.2500 0.2500  4 Bi 3.32, 4 Pu 3.32
Bi 0.5000 0.5000 0.5000  4 Cd 3.32, 4 Sn 3.32

Summary:
Its energy above the lowest structure with this stoichiometry is 247 meV/atom. Its space group is F-43m. The formation energy is -2 kJ per mole of atoms. The calculation puts the spin magnetization at 1.477 μB per atom.

=====

Density functional theory data (GGA-PBE) for crystalline SrPuCdBi at its relaxed geometry.

abc: 5.6360 5.6360 5.6360
angles: 60.00 60.00 60.00
Closest atoms and distances in Å follow each position.
Positions (direct):
Sr 0.0000 0.0000 0.0000  4 Bi 3.45, 4 Cd 3.45
Pu 0.5000 0.5000 0.5000  4 Bi 3.45, 4 Cd 3.45
Cd 0.2500 0.2500 0.2500  4 Pu 3.45, 4 Sr 3.45
Bi 0.7500 0.7500 0.7500  4 Pu 3.45, 4 Sr 3.45

Summary:
Its space group is F-43m. The formation energy is -29 kJ per mole of atoms. The calculation puts the spin magnetization at 1.648 μB per atom.

=====

Density functional theory data (GGA-PBE) for crystalline TbPuCdBi at its relaxed geometry.

abc: 5.4188 5.4188 5.4188
angles: 60.00 60.00 60.00
Closest atoms and distances in Å follow each position.
Positions (direct):
Tb 0.0000 0.0000 0.0000  4 Cd 3.32, 4 Bi 3.32
Pu 0.5000 0.5000 0.5000  4 Cd 3.32, 4 Bi 3.32
Cd 0.7500 0.7500 0.7500  4 Pu 3.32, 4 Tb 3.32
Bi 0.2500 0.2500 0.2500  4 Pu 3.32, 4 Tb 3.32

Summary:
Its space group is F-43m. The formation energy is -27 kJ per mole of atoms. The calculation puts the spin magnetization at 1.717 μB per atom.

=====

Density functional theory data (GGA-PBE) for crystalline TmPuCdBi at its relaxed geometry.

abc: 5.3800 5.3800 5.3800
angles: 60.00 60.00 60.00
Closest atoms and distances in Å follow each position.
Positions (direct):
Tm 0.0000 0.0000 0.0000  4 Bi 3.29, 4 Cd 3.29
Pu 0.5000 0.5000 0.5000  4 Cd 3.29, 4 Bi 3.29
Cd 0.2500 0.2500 0.2500  4 Tm 3.29, 4 Pu 3.29
Bi 0.7500 0.7500 0.7500  4 Tm 3.29, 4 Pu 3.29

Summary:
Its space group is F-43m. The formation energy is -23 kJ per mole of atoms. The calculation puts the spin magnetization at 1.699 μB per atom.